[1]
The following is a DFT calculation (PBE-GGA) of a relaxed TcTe2Pt crystal.

Values from the calculation:
* space group: C2/m, No. 12
* energy above the most stable polymorph in this dataset: 404.2 meV per atom
* energy relative to the elements, uncorrected: 0.276 eV per atom
* crystal system: monoclinic

Geometry as POSCAR:
```
TcTe2Pt
1.0
4.218 -1.706 0.000
4.218 1.706 0.000
-1.165 0.000 5.605
Tc Te Pt
1 2 1
direct
0.000 0.000 0.000
0.268 0.268 0.765
0.732 0.732 0.235
0.500 0.500 0.500
```

***

[2]
The following is a DFT calculation (PBE-GGA) of a relaxed GdTiCd2 crystal.

Values from the calculation:
* space group: Fm-3m, No. 225
* formation energy from the elements: -0.029 eV per atom
* energy above the most stable polymorph in this dataset: 38.2 meV per atom
* crystal system: cubic

Geometry as POSCAR:
```
GdTiCd2
1.0
0.000 3.597 3.597
3.597 0.000 3.597
3.597 3.597 0.000
Gd Ti Cd
1 1 2
direct
0.000 0.000 0.000
0.500 0.500 0.500
0.250 0.250 0.250
0.750 0.750 0.750
```

***

[3]
The following is a DFT calculation (PBE-GGA) of a relaxed SnPC2 crystal.

Values from the calculation:
* space group: Fm-3m, No. 225
* formation energy from the elements: 2.290 eV per atom
* energy above the most stable polymorph in this dataset: 1458.7 meV per atom
* crystal system: cubic

Geometry as POSCAR:
```
SnPC2
1.0
0.000 2.916 2.916
2.916 0.000 2.916
2.916 2.916 0.000
Sn P C
1 1 2
direct
0.000 0.000 0.000
0.500 0.500 0.500
0.250 0.250 0.250
0.750 0.750 0.750
```